[1]
A plane-wave DFT calculation with GGA-PBE was carried out for Hg2AsBr6 after structural relaxation.

The structure in CIF format:
```
data_Hg2AsBr6
_chemical_formula_sum 'Hg8 As4 Br24'
_cell_length_a 14.314
_cell_length_b 12.261
_cell_length_c 7.754
_cell_angle_alpha 90.00
_cell_angle_beta 95.96
_cell_angle_gamma 90.00
_symmetry_space_group_name_H-M 'C 1 2/c 1'
_symmetry_Int_Tables_number 15
loop_
_symmetry_equiv_pos_as_xyz
'x,y,z'
'-x,-y,-z'
'-x,y,-z+1/2'
'x,-y,z+1/2'
'x+1/2,y+1/2,z'
'-x+1/2,-y+1/2,-z'
'-x+1/2,y+1/2,-z+1/2'
'x+1/2,-y+1/2,z+1/2'
loop_
_atom_site_label
_atom_site_fract_x
_atom_site_fract_y
_atom_site_fract_z
Hg1 0.199 0.063 0.341
As1 0.000 0.383 0.250
Br1 0.106 0.254 0.138
Br2 0.111 0.088 0.637
Br3 0.118 0.415 0.565
```

Calculated values
The formation energy without anion corrections is -2.73 eV per formula unit. As for the mass density: 4.69 g/cm³.


[2]
A plane-wave DFT calculation with GGA-PBE was carried out for YCoAg after structural relaxation.

The structure in CIF format:
```
data_YCoAg
_chemical_formula_sum 'Y4 Co4 Ag4'
_cell_length_a 3.767
_cell_length_b 16.373
_cell_length_c 3.813
_cell_angle_alpha 90.00
_cell_angle_beta 90.00
_cell_angle_gamma 90.00
_symmetry_space_group_name_H-M 'C m c m'
_symmetry_Int_Tables_number 63
_symmetry_space_group_name_Hall '-C 2c 2'
loop_
_atom_site_label
_atom_site_fract_x
_atom_site_fract_y
_atom_site_fract_z
Y1 0.000 0.101 0.250
Co1 0.000 0.466 0.250
Ag1 0.000 0.294 0.250
```

Calculated values
As for the mass density: 7.22 g/cm³. The calculation puts the energy of formation from the pure elements at -0.66 eV per formula unit.


[3]
A plane-wave DFT calculation with GGA-PBE was carried out for TmThGaRh after structural relaxation.

The structure in CIF format:
```
data_TmThGaRh
_chemical_formula_sum 'Tm4 Th4 Ga4 Rh4'
_cell_length_a 7.125
_cell_length_b 7.125
_cell_length_c 7.125
_cell_angle_alpha 90.00
_cell_angle_beta 90.00
_cell_angle_gamma 90.00
_symmetry_space_group_name_H-M 'F -4 3 m'
_symmetry_Int_Tables_number 216
_symmetry_space_group_name_Hall 'F -4 2 3'
loop_
_atom_site_label
_atom_site_fract_x
_atom_site_fract_y
_atom_site_fract_z
Tm1 0.000 0.000 0.000
Th1 0.000 0.000 0.500
Ga1 0.250 0.250 0.750
Rh1 0.250 0.250 0.250
```

Calculated values
As for the mass density: 10.53 g/cm³. The calculation puts the energy of formation from the pure elements at -2.38 eV per formula unit.


[4]
A plane-wave DFT calculation with GGA-PBE was carried out for ZrWBr after structural relaxation.

The structure in CIF format:
```
data_ZrWBr
_chemical_formula_sum 'Zr4 W4 Br4'
_cell_length_a 3.500
_cell_length_b 5.156
_cell_length_c 14.101
_cell_angle_alpha 90.00
_cell_angle_beta 90.00
_cell_angle_gamma 90.00
_symmetry_space_group_name_H-M 'F m m 2'
_symmetry_Int_Tables_number 42
_symmetry_space_group_name_Hall 'F 2 -2'
loop_
_atom_site_label
_atom_site_fract_x
_atom_site_fract_y
_atom_site_fract_z
Zr1 0.000 0.000 0.000
W1 0.000 0.000 0.645
Br1 0.000 0.000 0.343
```

Calculated values
The formation energy without anion corrections is 1.16 eV per formula unit. As for the mass density: 9.27 g/cm³. Its energy above the most stable polymorph in this dataset is 0.000 eV per atom.


[5]
A plane-wave DFT calculation with GGA-PBE was carried out for CrIrCl2 after structural relaxation.

The structure in CIF format:
```
data_CrIrCl2
_chemical_formula_sum 'Cr1 Ir1 Cl2'
_cell_length_a 2.876
_cell_length_b 2.876
_cell_length_c 8.611
_cell_angle_alpha 90.00
_cell_angle_beta 90.00
_cell_angle_gamma 90.00
_symmetry_space_group_name_H-M 'P 4 m m'
_symmetry_Int_Tables_number 99
loop_
_symmetry_equiv_pos_as_xyz
'x,y,z'
'-y,x,z'
'-x,-y,z'
'y,-x,z'
'-x,y,z'
'y,x,z'
'x,-y,z'
'-y,-x,z'
loop_
_atom_site_label
_atom_site_fract_x
_atom_site_fract_y
_atom_site_fract_z
Cr1 0.000 0.000 0.000
Ir1 0.500 0.500 0.181
Cl1 0.000 0.000 0.397
Cl2 0.500 0.500 0.821
```

Calculated values
The formation energy without anion corrections is 0.11 eV per formula unit. As for the mass density: 7.34 g/cm³. Its energy above the most stable polymorph in this dataset is 0.208 eV per atom.


[6]
A plane-wave DFT calculation with GGA-PBE was carried out for BiBrF after structural relaxation.

The structure in CIF format:
```
data_BiBrF
_chemical_formula_sum 'Bi2 Br2 F2'
_cell_length_a 4.456
_cell_length_b 5.771
_cell_length_c 7.334
_cell_angle_alpha 110.39
_cell_angle_beta 90.58
_cell_angle_gamma 112.63
_symmetry_space_group_name_H-M 'P -1'
_symmetry_Int_Tables_number 2
loop_
_symmetry_equiv_pos_as_xyz
'x,y,z'
'-x,-y,-z'
loop_
_atom_site_label
_atom_site_fract_x
_atom_site_fract_y
_atom_site_fract_z
Bi1 0.058 0.112 0.231
Br1 0.327 0.649 0.274
F1 0.403 0.810 0.794
```

Calculated values
The formation energy without anion corrections is -3.83 eV per formula unit. As for the mass density: 6.36 g/cm³.


[7]
A plane-wave DFT calculation with GGA-PBE was carried out for Cs3NiI6 after structural relaxation.

The structure in CIF format:
```
data_Cs3NiI6
_chemical_formula_sum 'Cs6 Ni2 I12'
_cell_length_a 8.573
_cell_length_b 9.430
_cell_length_c 15.024
_cell_angle_alpha 90.00
_cell_angle_beta 124.64
_cell_angle_gamma 90.00
_symmetry_space_group_name_H-M 'P 1 21/c 1'
_symmetry_Int_Tables_number 14
loop_
_symmetry_equiv_pos_as_xyz
'x,y,z'
'-x,-y,-z'
'-x,y+1/2,-z+1/2'
'x,-y+1/2,z+1/2'
loop_
_atom_site_label
_atom_site_fract_x
_atom_site_fract_y
_atom_site_fract_z
Cs1 0.000 0.000 0.000
Cs2 0.230 0.079 0.757
Ni1 0.500 0.000 0.500
I1 0.207 0.145 0.463
I2 0.287 0.734 0.448
I3 0.381 0.024 0.298
```

Calculated values
The formation energy without anion corrections is -8.85 eV per formula unit. As for the mass density: 4.05 g/cm³. Its energy above the most stable polymorph in this dataset is 0.000 eV per atom.


[8]
A plane-wave DFT calculation with GGA-PBE was carried out for Bi5AuI2 after structural relaxation.

The structure in CIF format:
```
data_Bi5AuI2
_chemical_formula_sum 'Bi5 Au1 I2'
_cell_length_a 6.375
_cell_length_b 6.394
_cell_length_c 8.486
_cell_angle_alpha 103.82
_cell_angle_beta 103.77
_cell_angle_gamma 92.47
_symmetry_space_group_name_H-M 'P 1'
_symmetry_Int_Tables_number 1
loop_
_symmetry_equiv_pos_as_xyz
'x,y,z'
loop_
_atom_site_label
_atom_site_fract_x
_atom_site_fract_y
_atom_site_fract_z
Bi1 0.000 0.000 0.000
Bi2 0.054 0.676 0.224
Bi3 0.379 0.623 0.000
Bi4 0.484 0.105 0.218
Bi5 0.874 0.494 0.797
Au1 0.706 0.328 0.050
I1 0.478 0.590 0.538
I2 0.970 0.098 0.540
```

Calculated values
The formation energy without anion corrections is -0.21 eV per formula unit. As for the mass density: 7.66 g/cm³.


[9]
A plane-wave DFT calculation with GGA-PBE was carried out for Pu4MgSn2 after structural relaxation.

The structure in CIF format:
```
data_Pu4MgSn2
_chemical_formula_sum 'Pu16 Mg4 Sn8'
_cell_length_a 5.635
_cell_length_b 10.855
_cell_length_c 11.425
_cell_angle_alpha 90.00
_cell_angle_beta 90.00
_cell_angle_gamma 90.00
_symmetry_space_group_name_H-M 'F m m m'
_symmetry_Int_Tables_number 69
_symmetry_space_group_name_Hall '-F 2 2'
loop_
_atom_site_label
_atom_site_fract_x
_atom_site_fract_y
_atom_site_fract_z
Pu1 0.250 0.250 0.000
Pu2 0.250 0.250 0.250
Mg1 0.000 0.000 0.000
Sn1 0.000 0.000 0.366
```

Calculated values
As for the mass density: 11.76 g/cm³. The calculation puts the energy of formation from the pure elements at 0.51 eV per formula unit.